The following is a DFT calculation (PBE) of Na3VCl6 after structural relaxation.

## Properties
Volume in Å³ per cell: 502.67
Formation energy without anion corrections in eV per atom: -1.5624
E in eV per atom: -3.978
Fermi-level density of states in states/eV/atom: 1.076
Energy relative to the lowest polymorph listed for this composition in meV/atom: 0

Lattice parameters (Å, degrees): 7.952 7.952 7.952 91.01 91.01 91.01
Site moments in Bohr magnetons follow the coordinates.
Element x y z (fractional)
Na: 0.428 0.920 0.751  0.00
Na: 0.920 0.751 0.428  0.00
Na: 0.249 0.572 0.080  0.00
Na: 0.751 0.428 0.920  0.00
Na: 0.080 0.249 0.572  0.00
Na: 0.572 0.080 0.249  0.00
V: 0.000 0.000 0.000  1.87
V: 0.500 0.500 0.500  1.88
Cl: 0.285 0.936 0.078  -0.01
Cl: 0.064 0.922 0.715  -0.01
Cl: 0.571 0.789 0.451  -0.01
Cl: 0.922 0.715 0.064  -0.01
Cl: 0.451 0.571 0.789  -0.01
Cl: 0.211 0.549 0.429  -0.01
Cl: 0.789 0.451 0.571  -0.01
Cl: 0.549 0.429 0.211  -0.01
Cl: 0.078 0.285 0.936  -0.01
Cl: 0.429 0.211 0.549  -0.01
Cl: 0.936 0.078 0.285  -0.01
Cl: 0.715 0.064 0.922  -0.01